1.
Below is a relaxed structure of Ca2ReP, with properties calculated at the GGA-PBE level.

Cell lengths 3.5008, 3.5008, 9.0301 Å; angles 95.93, 95.93, 49.10 degrees
Closest atoms and distances in Å follow each position.
Fractional positions:
Ca1 0.2406 0.2406 0.2339  3 P 2.83-2.86, 2 Ca 2.91, 3 Re 2.99-3.12
Ca2 0.7594 0.7594 0.7661  3 P 2.83-2.86, 2 Ca 2.91, 3 Re 2.99-3.12
Re1 0.0000 0.0000 0.5000  2 Re 2.91, 6 Ca 2.99-3.12
P1 0.5000 0.5000 0.0000  6 Ca 2.83-2.86, 2 P 2.91

ΔH_f (0 K): 361 meV/atom
Space group: C2/m, No. 12
Total DFT energy (no corrections): -5.10 eV/atom



2.
Below is a relaxed structure of Mn5Mo, with properties calculated at the GGA-PBE level.

Cell lengths 4.6764, 4.6764, 4.6764 Å; angles 60.00, 60.00, 60.00 degrees
Closest atoms and distances in Å follow each position.
Fractional positions:
Mn1 0.0000 0.0000 0.0000  12 Mn 2.74, 4 Mo 2.86
Mn2 0.3734 0.3734 0.3734  6 Mn 2.31-2.37
Mn3 0.3734 0.3734 0.8799  6 Mn 2.31-2.37
Mn4 0.3734 0.8799 0.3734  6 Mn 2.31-2.37
Mn5 0.8799 0.3734 0.3734  6 Mn 2.31-2.37
Mo1 0.7500 0.7500 0.7500  16 Mn 2.75-2.86

Excess energy over the best structure of this formula in the dataset: 0.0 meV per atom
ΔH_f (0 K): 23 meV/atom
Space group: F-43m, No. 216
Total DFT energy (no corrections): -9.42 eV/atom



3.
Below is a relaxed structure of V2RuI, with properties calculated at the GGA-PBE level.

Cell lengths 4.4622, 4.4622, 4.4622 Å; angles 60.00, 60.00, 60.00 degrees
Closest atoms and distances in Å follow each position.
Fractional positions:
V1 0.2500 0.2500 0.2500  4 Ru 2.73, 4 I 2.73
V2 0.7500 0.7500 0.7500  4 Ru 2.73, 4 I 2.73
Ru1 0.0000 0.0000 0.0000  8 V 2.73
I1 0.5000 0.5000 0.5000  8 V 2.73

Excess energy over the best structure of this formula in the dataset: 0.0 meV per atom
Space group: Fm-3m, No. 225
Formation energy (no corrections): 2.699 eV per formula unit
Total DFT energy (no corrections): -6.59 eV/atom



4.
Below is a relaxed structure of Zr2InTc, with properties calculated at the GGA-PBE level.

Cell lengths 4.7162, 4.7162, 3.5811 Å; angles 90.00, 90.00, 90.00 degrees
Closest atoms and distances in Å follow each position.
Fractional positions:
Zr1 0.0000 0.5000 0.0000  4 In 2.96, 4 Tc 2.96
Zr2 0.5000 0.0000 0.0000  4 In 2.96, 4 Tc 2.96
In1 0.0000 0.0000 0.5000  8 Zr 2.96
Tc1 0.5000 0.5000 0.5000  8 Zr 2.96

Excess energy over the best structure of this formula in the dataset: 123.4 meV per atom
ΔH_f (0 K): -251 meV/atom
Space group: P4/mmm, No. 123
Total DFT energy (no corrections): -7.80 eV/atom